Density functional theory data (PBE) for CsRbSnHg2 after structural relaxation.

Results
* electronic total energy: -6.55 eV/cell
* formation enthalpy at 0 K: -2.3 kJ per mole of atoms

abc: 6.054 6.054 6.746
angles: 90.00 90.00 90.00
Space group P4/mmm (No. 123)
Inequivalent atoms, fractional coordinates:
Cs: 0.000 0.000 0.000 [1 per cell]
Rb: 0.500 0.500 0.000 [1 per cell]
Sn: 0.500 0.500 0.500 [1 per cell]
Hg: 0.000 0.500 0.500 [2 per cell]

Density functional theory data (PBE) for ReOsAu2 after structural relaxation.

Results
* offset from the most stable computed form: 0.513 eV/atom
* electronic total energy: -54.62 eV/cell
* formation enthalpy at 0 K: 70.5 kJ per mole of atoms

abc: 2.798 4.737 9.914
angles: 90.00 90.00 90.00
Space group Cmmm (No. 65)
Inequivalent atoms, fractional coordinates:
Re: 0.000 0.000 0.000 [2 per cell]
Os: 0.000 0.000 0.500 [2 per cell]
Au: 0.000 0.500 0.250 [4 per cell]

Density functional theory data (PBE) for LaPuRh after structural relaxation.

Results
* offset from the most stable computed form: 0.019 eV/atom
* electronic total energy: -55.70 eV/cell
* formation enthalpy at 0 K: -39.8 kJ per mole of atoms

abc: 4.238 4.238 8.265
angles: 90.00 90.00 90.00
Space group P4/nmm (No. 129, origin choice 2)
Inequivalent atoms, fractional coordinates:
La: 0.250 0.250 0.145 [2 per cell]
Pu: 0.250 0.750 0.500 [2 per cell]
Rh: 0.250 0.250 0.776 [2 per cell]

Density functional theory data (PBE) for GePtPb after structural relaxation.

Results
* offset from the most stable computed form: 0.000 eV/atom
* electronic total energy: -60.83 eV/cell
* formation enthalpy at 0 K: -27.1 kJ per mole of atoms

abc: 7.377 4.235 9.375
angles: 90.00 104.79 90.00
Space group C2/m (No. 12)
Inequivalent atoms, fractional coordinates:
Ge: 0.203 0.000 0.109 [4 per cell]
Pt: 0.107 0.000 0.825 [4 per cell]
Pb: 0.119 0.500 0.357 [4 per cell]

Which of these has the lowest electronic total energy? GePtPb

Among the records above, which one has the highest electronic total energy? CsRbSnHg2

Look up the electronic total energy of the first one. -6.55 eV/cell